(1)
The following is a DFT calculation (GGA-PBEsol) of crystalline RbHPd2 at its relaxed geometry.

The final energy comes out at -16.78 eV per formula unit.

It has space group Fd-3m (No. 227, origin choice 2), with a = 8.196 Å, b = 8.196 Å, c = 8.196 Å, α = 90.00°, β = 90.00° and γ = 90.00°. Symmetry generates all atoms from Rb at (0.125, 0.125, 0.125), H at (0.125, 0.125, 0.625) and Pd at (0.000, 0.000, 0.500).



(2)
The following is a DFT calculation (GGA-PBEsol) of crystalline Rb2H4Pd at its relaxed geometry.

The final energy comes out at -23.16 eV per formula unit.

It has space group P4_2/mnm (No. 136), with a = 5.747 Å, b = 5.747 Å, c = 8.310 Å, α = 90.00°, β = 90.00° and γ = 90.00°. Symmetry generates all atoms from Rb at (0.000, 0.500, 0.250), H at (0.000, 0.000, 0.198), H at (0.203, 0.203, 0.000) and Pd at (0.000, 0.000, 0.000).



(3)
The following is a DFT calculation (GGA-PBEsol) of crystalline Rb3H5Pd at its relaxed geometry.

The final energy comes out at -27.79 eV per formula unit.

It has space group P4/mbm (No. 127), with a = 7.553 Å, b = 7.553 Å, c = 5.899 Å, α = 90.00°, β = 90.00° and γ = 90.00°. Symmetry generates all atoms from Rb at (0.000, 0.000, 0.000), Rb at (0.184, 0.316, 0.500), H at (0.000, 0.000, 0.500), H at (0.111, 0.611, 0.194) and Pd at (0.000, 0.500, 0.000).



(4)
The following is a DFT calculation (GGA-PBEsol) of crystalline Rb2HPd at its relaxed geometry.

The final energy comes out at -9.60 eV per formula unit.

It has space group I-42d (No. 122), with a = 7.752 Å, b = 7.752 Å, c = 8.120 Å, α = 90.00°, β = 90.00° and γ = 90.00°. Symmetry generates all atoms from Rb at (0.199, 0.250, 0.125), H at (0.000, 0.000, 0.000) and Pd at (0.000, 0.000, 0.500).



(5)
The following is a DFT calculation (GGA-PBEsol) of crystalline RbH2Pd2 at its relaxed geometry.

The final energy comes out at -20.39 eV per formula unit.

It has space group I4/mmm (No. 139), with a = 3.793 Å, b = 3.793 Å, c = 11.536 Å, α = 90.00°, β = 90.00° and γ = 90.00°. Symmetry generates all atoms from Rb at (0.000, 0.000, 0.000), H at (0.000, 0.500, 0.250) and Pd at (0.000, 0.000, 0.264).



(6)
The following is a DFT calculation (GGA-PBEsol) of crystalline Re2H2Pd at its relaxed geometry.

The final energy comes out at -36.71 eV per formula unit.

It has space group I4/mmm (No. 139), with a = 3.706 Å, b = 3.706 Å, c = 7.846 Å, α = 90.00°, β = 90.00° and γ = 90.00°. Symmetry generates all atoms from Re at (0.000, 0.500, 0.250), H at (0.000, 0.000, 0.153) and Pd at (0.000, 0.000, 0.500).



(7)
The following is a DFT calculation (GGA-PBEsol) of crystalline ReH2Pd at its relaxed geometry.

The final energy comes out at -22.32 eV per formula unit.

It has space group Fm-3m (No. 225), with a = 5.259 Å, b = 5.259 Å, c = 5.259 Å, α = 90.00°, β = 90.00° and γ = 90.00°. Symmetry generates all atoms from Re at (0.000, 0.000, 0.000), H at (0.250, 0.250, 0.250) and Pd at (0.000, 0.000, 0.500).



(8)
The following is a DFT calculation (GGA-PBEsol) of crystalline H2PdRh at its relaxed geometry.

The final energy comes out at -20.80 eV per formula unit.

It has space group I-42d (No. 122), with a = 4.201 Å, b = 4.201 Å, c = 7.956 Å, α = 90.00°, β = 90.00° and γ = 90.00°. Symmetry generates all atoms from H at (0.237, 0.250, 0.125), Pd at (0.000, 0.000, 0.500) and Rh at (0.000, 0.000, 0.000).



(9)
The following is a DFT calculation (GGA-PBEsol) of crystalline H2PdRu at its relaxed geometry.

The final energy comes out at -22.06 eV per formula unit.

It has space group I-42d (No. 122), with a = 4.164 Å, b = 4.164 Å, c = 8.085 Å, α = 90.00°, β = 90.00° and γ = 90.00°. Symmetry generates all atoms from H at (0.244, 0.250, 0.125), Pd at (0.000, 0.000, 0.500) and Ru at (0.000, 0.000, 0.000).



(10)
The following is a DFT calculation (GGA-PBEsol) of crystalline HPdRuSe2 at its relaxed geometry.

The final energy comes out at -25.92 eV per formula unit.

It has space group P4/mmm (No. 123), with a = 4.476 Å, b = 4.476 Å, c = 3.314 Å, α = 90.00°, β = 90.00° and γ = 90.00°. Symmetry generates all atoms from H at (0.000, 0.000, 0.000), Pd at (0.500, 0.500, 0.500), Ru at (0.000, 0.000, 0.500) and Se at (0.000, 0.500, 0.000).



(11)
The following is a DFT calculation (GGA-PBEsol) of crystalline HPdS2 at its relaxed geometry.

The final energy comes out at -17.13 eV per formula unit.

It has space group I-42d (No. 122), with a = 5.094 Å, b = 5.094 Å, c = 8.621 Å, α = 90.00°, β = 90.00° and γ = 90.00°. Symmetry generates all atoms from H at (0.000, 0.000, 0.000), Pd at (0.000, 0.000, 0.500) and S at (0.191, 0.750, 0.125).



(12)
The following is a DFT calculation (GGA-PBEsol) of crystalline HPdS3 at its relaxed geometry.

The final energy comes out at -18.18 eV per formula unit.

It has space group Pm-3m (No. 221), with a = 3.992 Å, b = 3.992 Å, c = 3.992 Å, α = 90.00°, β = 90.00° and γ = 90.00°. Symmetry generates all atoms from H at (0.000, 0.000, 0.000), Pd at (0.500, 0.500, 0.500) and S at (0.000, 0.000, 0.500).



(13)
The following is a DFT calculation (GGA-PBEsol) of crystalline SbH2Pd at its relaxed geometry.

The final energy comes out at -14.98 eV per formula unit.

It has space group Fm-3m (No. 225), with a = 5.664 Å, b = 5.664 Å, c = 5.664 Å, α = 90.00°, β = 90.00° and γ = 90.00°. Symmetry generates all atoms from Sb at (0.000, 0.000, 0.000), H at (0.250, 0.250, 0.250) and Pd at (0.000, 0.000, 0.500).



(14)
The following is a DFT calculation (GGA-PBEsol) of crystalline Sb2TeHPd at its relaxed geometry.

The final energy comes out at -19.85 eV per formula unit.

It has space group P4/mmm (No. 123), with a = 4.298 Å, b = 4.298 Å, c = 5.268 Å, α = 90.00°, β = 90.00° and γ = 90.00°. Symmetry generates all atoms from Sb at (0.000, 0.500, 0.000), Te at (0.000, 0.000, 0.500), H at (0.000, 0.000, 0.000) and Pd at (0.500, 0.500, 0.500).



(15)
The following is a DFT calculation (GGA-PBEsol) of crystalline ScH4Pd3 at its relaxed geometry.

The final energy comes out at -40.74 eV per formula unit.

It has space group Pm-3m (No. 221), with a = 4.143 Å, b = 4.143 Å, c = 4.143 Å, α = 90.00°, β = 90.00° and γ = 90.00°. Symmetry generates all atoms from Sc at (0.000, 0.000, 0.000), H at (0.000, 0.000, 0.500), H at (0.500, 0.500, 0.500) and Pd at (0.000, 0.500, 0.500).



(16)
The following is a DFT calculation (GGA-PBEsol) of crystalline SiH2Pd at its relaxed geometry.

The final energy comes out at -17.06 eV per formula unit.

It has space group I-42d (No. 122), with a = 4.432 Å, b = 4.432 Å, c = 8.063 Å, α = 90.00°, β = 90.00° and γ = 90.00°. Symmetry generates all atoms from Si at (0.000, 0.000, 0.000), H at (0.205, 0.250, 0.625) and Pd at (0.000, 0.000, 0.500).



(17)
The following is a DFT calculation (GGA-PBEsol) of crystalline SrHPd3 at its relaxed geometry.

The final energy comes out at -24.97 eV per formula unit.

It has space group Pm-3m (No. 221), with a = 4.182 Å, b = 4.182 Å, c = 4.182 Å, α = 90.00°, β = 90.00° and γ = 90.00°. Symmetry generates all atoms from Sr at (0.000, 0.000, 0.000), H at (0.500, 0.500, 0.500) and Pd at (0.000, 0.500, 0.500).



(18)
The following is a DFT calculation (GGA-PBEsol) of crystalline SrH3Pd at its relaxed geometry.

The final energy comes out at -20.57 eV per formula unit.

It has space group Pm-3m (No. 221), with a = 3.779 Å, b = 3.779 Å, c = 3.779 Å, α = 90.00°, β = 90.00° and γ = 90.00°. Symmetry generates all atoms from Sr at (0.000, 0.000, 0.000), H at (0.000, 0.500, 0.500) and Pd at (0.500, 0.500, 0.500).



(19)
The following is a DFT calculation (GGA-PBEsol) of crystalline Sr2H4Pd at its relaxed geometry.

The final energy comes out at -26.96 eV per formula unit.

It has space group Pnma (No. 62), with a = 7.527 Å, b = 5.393 Å, c = 9.547 Å, α = 90.00°, β = 90.00° and γ = 90.00°. Symmetry generates all atoms from Sr at (0.011, 0.250, 0.169), Sr at (0.151, 0.750, 0.408), H at (0.009, 0.750, 0.105), H at (0.175, 0.250, 0.410), H at (0.177, 0.521, 0.659) and Pd at (0.241, 0.750, 0.084).



(20)
The following is a DFT calculation (GGA-PBEsol) of crystalline SrH2Pd at its relaxed geometry.

The final energy comes out at -16.25 eV per formula unit.

It has space group I-42d (No. 122), with a = 5.444 Å, b = 5.444 Å, c = 6.963 Å, α = 90.00°, β = 90.00° and γ = 90.00°. Symmetry generates all atoms from Sr at (0.000, 0.000, 0.000), H at (0.136, 0.250, 0.625) and Pd at (0.000, 0.000, 0.500).



Quick rundown of total magnetization, same order as above: 0.0; 0.0; 0.0; 0.0; 0.0; 0.0; 6.0; 0.0; 3.5; 0.0; 0.0; 0.0; 0.0; 0.0; 0.0; 0.0; 0.0; 0.0; 0.0; 0.0 μB per cell